Entry 1:
{"formula": "Pm3Pr2PuAs6", "functional": "PBE", "state": "relaxed", "lattice_angstrom": [[4.248, 0.000, 0.000], [0.000, 8.484, 0.304], [-2.124, -2.443, 8.913]], "species": ["Pm", "Pm", "Pm", "Pr", "Pr", "Pu", "As", "As", "As", "As", "As", "As"], "frac_coords": [[0.500, 0.500, 0.000], [0.832, 0.167, 0.665], [0.168, 0.833, 0.335], [0.834, 0.666, 0.667], [0.166, 0.334, 0.333], [0.500, 0.000, 0.000], [0.336, 0.921, 0.672], [0.666, 0.586, 0.332], [0.664, 0.079, 0.328], [0.999, 0.242, 0.997], [0.001, 0.758, 0.003], [0.334, 0.414, 0.668]], "space_group": "C2/m (12)", "formation_energy_ev_per_atom": -1.42}

Entry 2:
{"formula": "K4Cd2Au", "functional": "PBE", "state": "relaxed", "lattice_angstrom": [[-6.145, -4.406, -0.631], [0.797, -6.819, -4.612], [0.959, -8.351, 6.564]], "species": ["K", "K", "K", "K", "K", "K", "K", "K", "Au", "Au", "Cd", "Cd", "Cd", "Cd"], "frac_coords": [[0.779, 0.073, 0.933], [0.792, 0.677, 0.317], [0.281, 0.146, 0.852], [0.884, 0.134, 0.263], [0.295, 0.648, 0.777], [0.290, 0.604, 0.398], [0.687, 0.616, 0.987], [0.276, 0.102, 0.473], [0.386, 0.974, 0.165], [0.186, 0.776, 0.085], [0.873, 0.480, 0.662], [0.699, 0.270, 0.588], [0.286, 0.375, 0.125], [0.786, 0.875, 0.625]], "space_group": "P-1 (2)", "formation_energy_ev_per_atom": -0.13, "de_polymorph_mev_per_atom": 0.0}

Entry 3:
{"formula": "CaSmTm2", "functional": "PBE", "state": "relaxed", "lattice_angstrom": [[-1.567, -4.389, -3.319], [-0.539, -5.235, 2.245], [-5.189, -2.334, 0.604]], "species": ["Ca", "Tm", "Tm", "Sm"], "frac_coords": [[0.500, 0.500, 0.500], [0.250, 0.250, 0.250], [0.750, 0.750, 0.750], [0.000, 0.000, 0.000]], "space_group": "Fm-3m (225)", "formation_energy_ev_per_atom": 0.18, "de_polymorph_mev_per_atom": 108.4}

Entry 4:
{"formula": "CaDyEr4S8", "functional": "PBE", "state": "relaxed", "lattice_angstrom": [[8.028, 0.000, 0.000], [4.014, 6.953, 0.000], [4.014, 2.318, 6.573]], "species": ["Ca", "Dy", "Er", "Er", "Er", "Er", "S", "S", "S", "S", "S", "S", "S", "S"], "frac_coords": [[0.375, 0.375, 0.876], [0.002, 0.002, 0.994], [0.625, 0.625, 0.125], [0.002, 0.494, 0.502], [0.494, 0.002, 0.502], [0.002, 0.002, 0.502], [0.241, 0.782, 0.737], [0.782, 0.241, 0.737], [0.241, 0.241, 0.737], [0.239, 0.239, 0.283], [0.756, 0.227, 0.260], [0.227, 0.756, 0.260], [0.756, 0.756, 0.260], [0.758, 0.758, 0.726]], "space_group": "R3m (160)", "raw_formation_energy_mev_per_atom": -1998.8}

Entry 5:
{"formula": "ZnCr", "functional": "PBE", "state": "relaxed", "lattice_angstrom": [[-1.028, 4.120, -1.359], [-3.091, -3.212, -0.086], [-1.419, 1.237, 4.821]], "species": ["Zn", "Zn", "Cr", "Cr"], "frac_coords": [[0.333, 0.667, 0.750], [0.667, 0.333, 0.250], [0.333, 0.667, 0.250], [0.667, 0.333, 0.750]], "space_group": "P6_3/mmc (194)", "formation_energy_ev_per_atom": 1.09}

Entry 6:
{"formula": "U3Tl2BiO12", "functional": "PBE", "state": "relaxed", "lattice_angstrom": [[8.010, -0.015, -0.011], [3.943, 6.972, -0.011], [3.943, 2.295, 6.584]], "species": ["U", "U", "U", "Tl", "Tl", "Bi", "O", "O", "O", "O", "O", "O", "O", "O", "O", "O", "O", "O"], "frac_coords": [[0.500, 0.000, 0.000], [0.000, 0.500, 0.000], [0.000, 0.000, 0.500], [0.677, 0.677, 0.677], [0.323, 0.323, 0.323], [0.000, 0.000, 0.000], [0.306, 0.306, 0.944], [0.932, 0.932, 0.334], [0.334, 0.932, 0.932], [0.944, 0.306, 0.306], [0.932, 0.334, 0.932], [0.306, 0.944, 0.306], [0.694, 0.694, 0.056], [0.068, 0.068, 0.666], [0.666, 0.068, 0.068], [0.056, 0.694, 0.694], [0.068, 0.666, 0.068], [0.694, 0.056, 0.694]], "space_group": "R-3m (166)", "raw_formation_energy_mev_per_atom": -2355.1}

| no. | total moment (μB/f.u.) | E_tot (eV for the cell shown) |
| --- | --- | --- |
| 1 | 4.86 | -83.1 |
| 2 | 0.00 | -20.9 |
| 3 | 0.00 | -14.9 |
| 4 | 0.00 | -85.9 |
| 5 | 4.17 | -17.4 |
| 6 | 0.00 | -144.4 |